Compound: BeOs2W
Source: the Alexandria database
Functional: GGA-PBE
Structure: optimized geometry

Values from the calculation:
Fermi-level density of states: 3.1 states/eV per cell
ΔH_f (0 K): 0.0842 eV per atom
space group: P2/m, No. 10

Lattice parameters (Å, degrees): 3.808 2.762 5.406 73.70 90.00 90.00
Fractional positions:
Os 0.000 0.596 0.526
Os 0.000 0.904 0.974
Be 0.500 0.750 0.750
W 0.500 0.250 0.250



Compound: BeOsW
Source: the Alexandria database
Functional: GGA-PBE
Structure: optimized geometry

Values from the calculation:
Fermi-level density of states: 4.5 states/eV per cell
ΔH_f (0 K): -0.2362 eV per atom
space group: Ima2, No. 46

Lattice parameters (Å, degrees): 4.635 4.645 4.645 75.40 60.07 60.07
Fractional positions:
Os 0.577 0.479 0.428
Os 0.077 0.812 0.095
Be 0.997 0.975 0.591
Be 0.497 0.975 0.591
W 0.404 0.161 0.091
W 0.904 0.475 0.777



Compound: Be2OsW
Source: the Alexandria database
Functional: GGA-PBE
Structure: optimized geometry

Values from the calculation:
Fermi-level density of states: 2.2 states/eV per cell
ΔH_f (0 K): 0.1915 eV per atom
space group: P4/mmm, No. 123

Lattice parameters (Å, degrees): 3.626 3.677 3.677 90.00 90.00 90.00
Fractional positions:
Be 0.000 0.500 0.500
Be 0.000 0.000 0.000
W 0.500 0.000 0.500
Os 0.500 0.500 0.000



Compound: BeOs2W
Source: the Alexandria database
Functional: GGA-PBE
Structure: optimized geometry

Values from the calculation:
Fermi-level density of states: 2.0 states/eV per cell
ΔH_f (0 K): -0.0841 eV per atom
space group: P4/mmm, No. 123

Lattice parameters (Å, degrees): 2.979 2.979 6.010 90.00 90.00 90.00
Fractional positions:
Be 0.500 0.500 0.750
Os 0.000 0.000 0.973
Os 0.000 0.000 0.527
W 0.500 0.500 0.250



Compound: Be4OsW
Source: the Alexandria database
Functional: GGA-PBE
Structure: optimized geometry

Values from the calculation:
Fermi-level density of states: 3.6 states/eV per cell
ΔH_f (0 K): -0.3259 eV per atom
space group: F-43m, No. 216

Lattice parameters (Å, degrees): 4.398 4.398 4.398 60.00 60.00 60.00
Fractional positions:
Os 0.250 0.250 0.250
Be 0.627 0.120 0.627
Be 0.627 0.627 0.120
Be 0.627 0.627 0.627
Be 0.120 0.627 0.627
W 0.000 0.000 0.000



Compound: BeOs2W
Source: the Alexandria database
Functional: GGA-PBE
Structure: optimized geometry

Values from the calculation:
Fermi-level density of states: 2.3 states/eV per cell
ΔH_f (0 K): 0.1391 eV per atom
space group: C2/m, No. 12

Lattice parameters (Å, degrees): 4.457 4.457 4.803 82.21 82.21 36.03
Fractional positions:
Be 0.750 0.750 0.750
W 0.250 0.250 0.250
Os 0.499 0.499 0.520
Os 0.001 0.001 0.980



Compound: BeOs2W
Source: the Alexandria database
Functional: GGA-PBE
Structure: optimized geometry

Values from the calculation:
Fermi-level density of states: 4.0 states/eV per cell
ΔH_f (0 K): 0.5966 eV per atom
space group: I-42d, No. 122

Lattice parameters (Å, degrees): 6.802 6.802 5.383 50.81 50.81 90.00
Fractional positions:
Os 0.875 0.795 0.750
Os 0.205 0.625 0.250
Os 0.375 0.455 0.750
Os 0.545 0.125 0.250
Be 0.250 0.750 0.500
Be 0.500 0.500 0.000
W 0.000 0.000 0.000
W 0.750 0.250 0.500



Compound: BeOs3W
Source: the Alexandria database
Functional: GGA-PBE
Structure: optimized geometry

Values from the calculation:
Fermi-level density of states: 6.4 states/eV per cell
ΔH_f (0 K): 2.5432 eV per atom
space group: Pm-3m, No. 221

Lattice parameters (Å, degrees): 4.702 4.702 4.702 90.00 90.00 90.00
Fractional positions:
Os 0.500 0.000 0.000
Os 0.000 0.000 0.500
Os 0.000 0.500 0.000
Be 0.500 0.500 0.500
W 0.000 0.000 0.000



Compound: Be2OsW
Source: the Alexandria database
Functional: GGA-PBE
Structure: optimized geometry

Values from the calculation:
Fermi-level density of states: 2.2 states/eV per cell
ΔH_f (0 K): 0.1432 eV per atom
space group: Pmmm, No. 47

Lattice parameters (Å, degrees): 3.045 4.255 3.819 90.00 90.00 90.00
Fractional positions:
Be 0.000 0.000 0.000
Be 0.500 0.500 0.000
W 0.000 0.500 0.500
Os 0.500 0.000 0.500



Compound: Be2OsW
Source: the Alexandria database
Functional: GGA-PBE
Structure: optimized geometry

Values from the calculation:
Fermi-level density of states: 2.2 states/eV per cell
ΔH_f (0 K): 0.1317 eV per atom
space group: Cmmm, No. 65

Lattice parameters (Å, degrees): 4.040 4.040 2.923 90.00 90.00 99.74
Fractional positions:
Be 0.500 0.500 0.000
Be 0.000 0.000 0.000
Os 0.500 0.000 0.500
W 0.000 0.500 0.500



Compound: BeOsW
Source: the Alexandria database
Functional: GGA-PBE
Structure: optimized geometry

Values from the calculation:
Fermi-level density of states: 1.3 states/eV per cell
ΔH_f (0 K): 0.0227 eV per atom
space group: P3m1, No. 156

Lattice parameters (Å, degrees): 4.072 4.072 2.794 90.00 90.00 120.00
Fractional positions:
W 0.333 0.667 0.659
Be 0.000 0.000 0.148
Os 0.667 0.333 0.193



Compound: BeOs2W
Source: the Alexandria database
Functional: GGA-PBE
Structure: optimized geometry

Values from the calculation:
Fermi-level density of states: 4.8 states/eV per cell
ΔH_f (0 K): 0.2377 eV per atom
space group: R3m, No. 160

Lattice parameters (Å, degrees): 8.663 8.663 8.663 18.20 18.20 18.20
Fractional positions:
Os 0.006 0.006 0.006
Os 0.252 0.252 0.252
W 0.496 0.496 0.496
Be 0.746 0.746 0.746